## Ta2HgO6 (PBE)

Data for a relaxed structure of Ta2HgO6.

Its crystal system is trigonal. As for the energy: -8.2047 eV per atom.

It has space group P-31m (No. 162), with a = 5.2985 Å, b = 5.2985 Å, c = 4.8228 Å, α = 90.00°, β = 90.00° and γ = 120.00°. The distinct sites, in fractional coordinates, are Ta at (0.3333, 0.6667, 0.0000), Hg at (0.0000, 0.0000, 0.5000) and O at (0.0000, 0.3705, 0.7769).